{"formula": "HfMo2O8", "functional": "GGA+U", "state": "relaxed", "final_energy_ev_per_atom": -7.72, "m_tot_mub_per_cell": 0.00, "space_group": "C2/m, No. 12", "cell": [[-4.3208, -2.4363, -2.2780], [3.1616, -3.5144, -4.6553], [1.1972, -6.2222, 1.9669]], "species": ["O", "O", "O", "O", "O", "O", "O", "O", "Mo", "Mo", "Hf"], "fractional_positions": [[0.3243, 0.8697, 0.8697], [0.8254, 0.0642, 0.7132], [0.7415, 0.6576, 0.6576], [0.6757, 0.1303, 0.1303], [0.1746, 0.2868, 0.9358], [0.2585, 0.3424, 0.3424], [0.1746, 0.9358, 0.2868], [0.8254, 0.7132, 0.0642], [0.6654, 0.8163, 0.8163], [0.3346, 0.1837, 0.1837], [0.0000, 0.0000, 0.0000]]}